1.
NaPb8Au6 after structural relaxation. Source: Alexandria via LeMat-Bulk, functional GGA-PBE.

Calculated values
Calculated volume in Å³/cell: 410.9
Magnetic moment in μB/f.u.: 0.000
Energy of formation in eV per formula unit: -1.458
Space-group type: No. 148
E in eV per atom: -3.47

```
15
Lattice="7.3450 0.0767 3.3664 2.1907 7.0111 3.3664 0.1032 0.0767 8.0790" Properties=species:S:1:pos:R:3 pbc="T T T"
Na 0.0000 0.0000 0.0000
Pb 2.9539 4.1162 9.8891
Pb 2.5383 5.5225 6.4245
Pb 3.4359 0.8387 8.1059
Pb 6.4426 4.7887 9.9001
Pb 3.1964 2.3758 4.9118
Pb 6.2030 6.3259 6.7059
Pb 7.1006 1.6420 8.3874
Pb 6.6850 3.0484 4.9227
Au 1.4866 2.9517 7.5025
Au 4.0975 6.5919 8.7973
Au 5.0087 2.0234 10.4141
Au 4.6302 5.1411 4.3978
Au 5.5414 0.5727 6.0145
Au 8.1523 4.2129 7.3094
```



2.
NaPb2Au after structural relaxation. Source: Alexandria via LeMat-Bulk, functional GGA-PBE.

Calculated values
Calculated volume in Å³/cell: 224.3
Magnetic moment in μB/f.u.: 0.000
Energy of formation in eV per formula unit: -0.014
Space-group type: No. 122
E in eV per atom: -3.01

```
8
Lattice="-4.4069 -0.3200 -1.2066 1.2170 -2.0868 -3.8915 -2.2436 -10.6920 2.3363" Properties=species:S:1:pos:R:3 pbc="T T T"
Pb -3.2208 -3.1380 -0.6723
Pb -0.2934 -4.0130 -1.9831
Pb -2.8949 -8.8942 -0.1086
Pb -4.4580 -10.1522 -2.7595
Na -1.5950 -1.2034 -2.5490
Na -1.3108 -6.9911 -2.0521
Au 0.0000 0.0000 0.0000
Au -4.1227 -6.1077 -0.7097
```



3.
NaPb3Au8 after structural relaxation. Source: Alexandria via LeMat-Bulk, functional GGA-PBE.

Calculated values
Calculated volume in Å³/cell: 262.9
Magnetic moment in μB/f.u.: 0.000
Energy of formation in eV per formula unit: -1.353
Energy relative to the lowest polymorph listed for this composition in meV per atom: 6
Space-group type: No. 156
E in eV per atom: -3.33

```
12
Lattice="5.7459 0.0000 0.0000 -2.8730 4.9761 0.0000 0.0000 0.0000 9.1954" Properties=species:S:1:pos:R:3 pbc="T T T"
Na 0.0000 0.0000 5.1710
Pb 2.8730 1.6587 4.0954
Pb 2.8730 1.6587 0.5390
Pb 0.0000 0.0000 8.6561
Au 0.0000 3.3174 4.5969
Au 0.0000 3.3174 9.1768
Au 2.8730 0.0281 6.8651
Au 1.4608 2.4740 6.8651
Au 4.2851 2.4740 6.8651
Au 0.0000 1.6263 2.3135
Au -1.4645 4.1630 2.3135
Au 1.4645 4.1630 2.3135
```



4.
Na14PbAu after structural relaxation. Source: Alexandria via LeMat-Bulk, functional GGA-PBE.

Calculated values
Calculated volume in Å³/cell: 514.1
Magnetic moment in μB/f.u.: 0.000
Energy of formation in eV per formula unit: -1.033
Space-group type: No. 123
E in eV per atom: -1.66

```
16
Lattice="6.9858 -0.0161 0.0000 0.0136 6.9858 0.0000 0.0000 0.0000 10.5348" Properties=species:S:1:pos:R:3 pbc="T T T"
Na 6.1245 6.0985 0.0000
Na 2.6248 2.6136 0.0000
Na 6.1177 2.6057 5.2674
Na 6.1177 2.6056 0.0000
Na 2.6317 6.1066 5.2674
Na 2.6316 6.1066 0.0000
Na 4.3257 0.9055 2.9527
Na 4.3257 0.9055 7.5821
Na 0.9239 4.3219 2.9527
Na 0.9239 4.3219 7.5821
Na 4.3312 4.3128 2.9531
Na 4.3312 4.3128 7.5817
Na 0.9184 0.9145 2.9532
Na 0.9184 0.9145 7.5816
Pb 6.1244 6.0984 5.2674
Au 2.6247 2.6135 5.2674
```



5.
NaPb2Au after structural relaxation. Source: Alexandria via LeMat-Bulk, functional GGA-PBE.

Calculated values
Calculated volume in Å³/cell: 123.6
Magnetic moment in μB/f.u.: 0.000
Energy of formation in eV per formula unit: -0.006
Space-group type: No. 166
E in eV per atom: -3.00

```
4
Lattice="3.7173 0.0000 0.0000 1.8586 3.2192 0.0000 1.8586 1.0731 10.3301" Properties=species:S:1:pos:R:3 pbc="T T T"
Pb 1.8586 1.0731 7.1573
Pb 5.5759 3.2192 3.1727
Na 0.0000 0.0000 0.0000
Au 3.7173 2.1462 5.1650
```



6.
NaPb2Au after structural relaxation. Source: Alexandria via LeMat-Bulk, functional GGA-PBE.

Calculated values
Calculated volume in Å³/cell: 101.8
Magnetic moment in μB/f.u.: 0.000
Energy of formation in eV per formula unit: -0.443
Space-group type: No. 123
E in eV per atom: -3.11

```
4
Lattice="4.6108 0.0000 0.0000 0.0000 4.6979 0.0000 0.0000 0.0000 4.6979" Properties=species:S:1:pos:R:3 pbc="T T T"
Pb 0.0000 0.0000 2.3490
Pb 0.0000 2.3490 0.0000
Na 2.3054 2.3490 2.3490
Au 2.3054 0.0000 0.0000
```



7.
Na8Pb2Au after structural relaxation. Source: Alexandria via LeMat-Bulk, functional GGA-PBE.

Calculated values
Calculated volume in Å³/cell: 325.5
Magnetic moment in μB/f.u.: 0.000
Energy of formation in eV per formula unit: -1.703
Energy relative to the lowest polymorph listed for this composition in meV per atom: 0
Space-group type: No. 12
E in eV per atom: -2.09

```
11
Lattice="5.3035 0.0000 -1.5084 -0.5792 6.8862 -2.0366 -0.2210 -1.0190 9.3007" Properties=species:S:1:pos:R:3 pbc="T T T"
Na 3.1005 2.4938 0.8236
Na 1.6722 0.0853 5.8793
Na 0.8011 0.9227 2.8166
Na -0.4254 5.0753 -1.4957
Na 3.7022 4.9444 2.9390
Na 2.8311 5.7818 -0.1236
Na 1.4028 3.3734 4.9321
Na 4.9287 0.7919 7.2513
Pb 0.4930 4.3294 1.7333
Pb 4.0103 1.5377 4.0224
Au 2.6518 0.0000 -0.7542
```



8.
NaPb2Au9 after structural relaxation. Source: Alexandria via LeMat-Bulk, functional GGA-PBE.

Calculated values
Calculated volume in Å³/cell: 261.1
Magnetic moment in μB/f.u.: 0.000
Energy of formation in eV per formula unit: -1.327
Space-group type: No. 166
E in eV per atom: -3.30

```
12
Lattice="5.5044 0.0000 1.6382 2.5084 4.8996 1.6382 0.1018 0.0622 9.7247" Properties=species:S:1:pos:R:3 pbc="T T T"
Na 0.0000 0.0000 0.0000
Pb 6.8969 4.2173 7.0259
Pb 1.2177 0.7446 5.9751
Au 5.3406 3.2656 2.1887
Au 2.7740 1.6962 10.8123
Au 4.0573 2.4809 6.5005
Au 3.3490 2.0478 3.7968
Au 6.1287 2.0478 4.6241
Au 4.6158 4.5221 4.6241
Au 4.7656 2.9140 9.2043
Au 3.4988 0.4397 8.3770
Au 1.9859 2.9140 8.3770
```



Please write out number 7 again, unchanged.
Na8Pb2Au after structural relaxation. Source: Alexandria via LeMat-Bulk, functional GGA-PBE.

Calculated values
Calculated volume in Å³/cell: 325.5
Magnetic moment in μB/f.u.: 0.000
Energy of formation in eV per formula unit: -1.703
Energy relative to the lowest polymorph listed for this composition in meV per atom: 0
Space-group type: No. 12
E in eV per atom: -2.09

```
11
Lattice="5.3035 0.0000 -1.5084 -0.5792 6.8862 -2.0366 -0.2210 -1.0190 9.3007" Properties=species:S:1:pos:R:3 pbc="T T T"
Na 3.1005 2.4938 0.8236
Na 1.6722 0.0853 5.8793
Na 0.8011 0.9227 2.8166
Na -0.4254 5.0753 -1.4957
Na 3.7022 4.9444 2.9390
Na 2.8311 5.7818 -0.1236
Na 1.4028 3.3734 4.9321
Na 4.9287 0.7919 7.2513
Pb 0.4930 4.3294 1.7333
Pb 4.0103 1.5377 4.0224
Au 2.6518 0.0000 -0.7542
```